# 1
The following is a GGA-PBE calculation of a relaxed structure of ErSnAu, from OQMD via LeMat-Bulk.

Unit cell a=4.6832 b=4.6832 c=7.3902 alpha=90.00 beta=90.00 gamma=120.00
With the nearest neighbours (Å) after each atom.
Sites, in units of the cell vectors:
Er  0.0000  0.0000  0.0000  3 Au 2.98, 3 Sn 3.18
Er  0.0000  0.0000  0.5000  3 Au 2.98, 3 Sn 3.18
Sn  0.3333  0.6667  0.2267  4 Au 2.81-2.92
Sn  0.6667  0.3333  0.7267  4 Au 2.81-2.92
Au  0.3333  0.6667  0.8313  4 Sn 2.81-2.92, 3 Er 2.98
Au  0.6667  0.3333  0.3313  4 Sn 2.81-2.92, 3 Er 2.98

Electronic total energy: -4.75 eV/atom

# 2
The following is a GGA-PBE calculation of a relaxed structure of CsHfTe3Au, from OQMD via LeMat-Bulk.

Unit cell a=14.0037 b=4.3910 c=13.8701 alpha=90.00 beta=90.00 gamma=90.00
With the nearest neighbours (Å) after each atom.
Sites, in units of the cell vectors:
Cs  0.1888  0.2500  0.0580  7 Te 3.82-4.06, 3 Au 3.92-4.28
Cs  0.3112  0.7500  0.5580  7 Te 3.82-4.06, 3 Au 3.92-4.28
Cs  0.6888  0.2500  0.4420  7 Te 3.82-4.06, 3 Au 3.92-4.28
Cs  0.8112  0.7500  0.9420  7 Te 3.82-4.06, 3 Au 3.92-4.28
Hf  0.0304  0.2500  0.3456  2 Au 2.95, 6 Te 2.97-3.13
Hf  0.4696  0.7500  0.8456  2 Au 2.95, 6 Te 2.97-3.13
Hf  0.5304  0.2500  0.1544  2 Au 2.95, 6 Te 2.97-3.13
Hf  0.9696  0.7500  0.6544  2 Au 2.95, 6 Te 2.97-3.13
Te  0.0109  0.2500  0.8010  1 Au 2.71
Te  0.0755  0.2500  0.5584  3 Hf 2.97-3.02
Te  0.2462  0.7500  0.8400  2 Au 2.65
Te  0.2538  0.2500  0.3400  2 Au 2.65
Te  0.4245  0.7500  0.0584  3 Hf 2.97-3.02
Te  0.4891  0.7500  0.3010  1 Au 2.71
Te  0.5109  0.2500  0.6990  1 Au 2.71
Te  0.5755  0.2500  0.9416  3 Hf 2.97-3.02
Te  0.7462  0.7500  0.6600  2 Au 2.65
Te  0.7538  0.2500  0.1600  2 Au 2.65
Te  0.9245  0.7500  0.4416  3 Hf 2.97-3.02
Te  0.9891  0.7500  0.1990  1 Au 2.71
Au  0.1598  0.7500  0.2903  3 Te 2.65-2.71, 2 Hf 2.95
Au  0.3402  0.2500  0.7903  3 Te 2.65-2.71, 2 Hf 2.95
Au  0.6598  0.7500  0.2097  3 Te 2.65-2.71, 2 Hf 2.95
Au  0.8402  0.2500  0.7097  3 Te 2.65-2.71, 2 Hf 2.95

Electronic total energy: -4.58 eV/atom

Calculated values (μB per formula unit) of magnetization for the records, taken in order: 0.00, 0.00.